VASP calculation (PBE+U) on a relaxed structure of LiCoP4O12.

Values from the calculation:
Energy above the most stable polymorph in this dataset, meV/atom: 11

abc: 13.4185 5.2200 7.2784
angles: 79.96 90.00 90.00
Atoms (fractional coordinates):
O: 0.2426 0.6622 0.1505
O: 0.6247 0.7673 0.6300
O: 0.7154 0.6062 0.3256
O: 0.6295 0.8096 0.0204
O: 0.9114 0.3557 0.0253
O: 0.7891 0.0022 0.1325
O: 0.4114 0.6443 0.9747
O: 0.1295 0.1904 0.9796
P: 0.0850 0.9908 0.4952
O: 0.4709 0.9389 0.4750
Co: 0.2208 0.5263 0.4128
O: 0.2154 0.3938 0.6744
P: 0.6872 0.8462 0.1861
Li: 0.5435 0.6487 0.8756
O: 0.7426 0.3378 0.8495
O: 0.5917 0.2637 0.5745
P: 0.3660 0.0314 0.3819
P: 0.1872 0.1538 0.8139
P: 0.8660 0.9686 0.6181
Li: 0.0435 0.3513 0.1244
O: 0.1247 0.2327 0.3700
O: 0.3490 0.3113 0.3960
O: 0.0917 0.7363 0.4255
O: 0.1289 0.9564 0.7021
O: 0.3800 0.9994 0.1674
Co: 0.7208 0.4737 0.5872
O: 0.8800 0.0006 0.8326
O: 0.8490 0.6887 0.6040
O: 0.2891 0.9978 0.8675
P: 0.5850 0.0092 0.5048
O: 0.7918 0.1655 0.5261
P: 0.3317 0.7988 0.0438
P: 0.8317 0.2012 0.9562
O: 0.6289 0.0436 0.2979
O: 0.9709 0.0611 0.5250
O: 0.2918 0.8345 0.4739